Entry 1:
This record from Alexandria via LeMat-Bulk describes a relaxed structure of TiCdTe2O8. The functional is PBE.

## Properties
Formation energy (no corrections): -1407 meV per atom
Volume: 12.89 Å³/atom
M_tot: 0.000 μB per formula unit

Lattice parameters (Å, degrees): 6.7053 6.9597 6.6297 90.00 90.00 90.00
Closest atoms and distances in Å follow each position.
Space group Cmmm (No. 65)
Symmetry-distinct sites (fractional):
Ti1 0.0000 0.0000 0.0000 (multiplicity 2)  6 O 1.96-2.11
Cd1 0.0000 0.0000 0.5000 (multiplicity 2)  6 O 2.26-2.30
Te1 0.0000 0.5000 0.2446 (multiplicity 4)  6 O 2.03-2.12
O1 0.0000 0.3034 0.0000 (multiplicity 4)  1 Ti 2.11, 2 Te 2.12
O2 0.0000 0.3247 0.5000 (multiplicity 4)  2 Te 2.09, 1 Cd 2.26
O3 0.1981 0.0000 0.2169 (multiplicity 8)  1 Ti 1.96, 1 Te 2.03

---

Entry 2:
This record from Alexandria via LeMat-Bulk describes a relaxed structure of YSn2BrCl. The functional is PBE.

## Properties
Formation energy (no corrections): 42 meV per atom
Volume: 32.35 Å³/atom
M_tot: 0.000 μB per formula unit

Lattice parameters (Å, degrees): 5.1459 5.1459 6.1082 90.00 90.00 90.00
Closest atoms and distances in Å follow each position.
Space group P4/mmm (No. 123)
Symmetry-distinct sites (fractional):
Y1 0.0000 0.0000 0.0000 (multiplicity 1)  4 Br 3.64, 8 Sn 3.99
Sn1 0.0000 0.5000 0.5000 (multiplicity 2)  2 Cl 2.57
Br1 0.5000 0.5000 0.0000 (multiplicity 1)  2 Cl 3.05
Cl1 0.5000 0.5000 0.5000 (multiplicity 1)  4 Sn 2.57

---

DOS(E_F) for the records above, in order: 0.178 1.436 states/eV/atom